# 1
! Sm2Dy2Al3 (PBE-GGA, relaxed); values from VASP
! Raw total energy in eV per atom: -4.55
! Fermi-level density of states in states/eV per cell: 4.03
! SG: Cmmm
! Energy of formation in kJ per mole of atoms: -28
&SYSTEM
  ibrav = 0, nat = 7, ntyp = 3
/
ATOMIC_SPECIES
Sm 150.36 Sm.upf
Dy 162.50 Dy.upf
Al 26.98 Al.upf
CELL_PARAMETERS angstrom
-2.1452 0.8019 -2.7645
-0.3241 -3.4725 -0.7557
-12.4386 -0.4070 7.2034
ATOMIC_POSITIONS angstrom
Sm -9.3137 -1.4324 2.1501
Sm -5.5942 -1.6452 1.5330
Dy -12.2446 -1.6407 4.3641
Dy -2.6633 -1.4369 -0.6809
Al -5.0309 0.5967 -0.5847
Al 0.0000 0.0000 0.0000
Al -9.5530 -0.2019 5.0237

=====

# 2
! Sm2Dy8Al (PBE-GGA, relaxed); values from VASP
! Distance to the lowest polymorph of the same formula in meV per atom: 0
! Raw total energy in eV per atom: -4.58
! Fermi-level density of states in states/eV per cell: 14.58
! SG: C2/m
! Energy of formation in kJ per mole of atoms: -3
&SYSTEM
  ibrav = 0, nat = 11, ntyp = 3
/
ATOMIC_SPECIES
Sm 150.36 Sm.upf
Dy 162.50 Dy.upf
Al 26.98 Al.upf
CELL_PARAMETERS angstrom
5.2634 0.0000 -1.5110
-0.1089 6.4466 -0.3794
0.0190 -0.0715 9.9891
ATOMIC_POSITIONS angstrom
Sm 3.9276 4.2623 3.7588
Sm 1.2459 2.1128 4.3400
Dy 2.1970 2.4928 7.6533
Dy 3.4500 0.7647 2.0952
Dy 4.4473 1.1490 5.5689
Dy 4.9792 4.7454 7.4220
Dy 0.7263 5.2262 2.5299
Dy 1.7235 5.6105 6.0036
Dy 2.9765 3.8823 0.4455
Dy 0.1943 1.6297 0.6768
Al 2.6317 0.0000 -0.7555

=====

# 3
! Sm3DyAl4 (PBE-GGA, relaxed); values from VASP
! Raw total energy in eV per atom: -4.60
! Fermi-level density of states in states/eV per cell: 3.02
! SG: P4/mmm
! Energy of formation in kJ per mole of atoms: -37
&SYSTEM
  ibrav = 0, nat = 8, ntyp = 3
/
ATOMIC_SPECIES
Al 26.98 Al.upf
Sm 150.36 Sm.upf
Dy 162.50 Dy.upf
CELL_PARAMETERS angstrom
-3.1245 0.2412 -1.8855
1.1960 -2.5703 -2.3106
-5.9145 -10.3703 8.4744
ATOMIC_POSITIONS angstrom
Al -5.2124 -9.1393 7.4685
Al -0.7021 -1.2310 1.0059
Al -2.2090 -3.8733 3.1652
Al -3.7054 -6.4970 5.3093
Sm -2.4236 -3.7233 -0.0071
Sm -3.9215 -6.3497 2.1392
Sm -5.4194 -8.9761 4.2854
Dy -0.9642 -1.1646 -2.0981

=====

# 4
! Sm7DyAl4 (PBE-GGA, relaxed); values from VASP
! Raw total energy in eV per atom: -4.45
! Fermi-level density of states in states/eV per cell: 13.50
! SG: C2/m
! Energy of formation in kJ per mole of atoms: -6
&SYSTEM
  ibrav = 0, nat = 12, ntyp = 3
/
ATOMIC_SPECIES
Sm 150.36 Sm.upf
Dy 162.50 Dy.upf
Al 26.98 Al.upf
CELL_PARAMETERS angstrom
5.5917 0.0000 0.0000
2.7958 8.8019 0.3302
2.7958 0.5681 7.0019
ATOMIC_POSITIONS angstrom
Sm 8.3875 8.0431 4.0420
Sm 2.7958 1.3270 3.2901
Sm 2.7958 5.5355 2.0000
Sm 8.3875 3.8345 5.3321
Sm 5.5917 6.1396 5.5532
Sm 2.7958 0.0000 0.0000
Sm 5.5917 3.2305 1.7789
Dy 0.0000 0.0000 0.0000
Al 5.5917 2.4837 4.6650
Al 5.5917 6.8863 2.6671
Al 8.3875 6.4407 7.0946
Al 2.7958 2.9293 0.2375

=====

# 5
! Sm2DyAl (PBE-GGA, relaxed); values from VASP
! Distance to the lowest polymorph of the same formula in meV per atom: 0
! Raw total energy in eV per atom: -4.63
! Fermi-level density of states in states/eV per cell: 7.62
! SG: Amm2
! Energy of formation in kJ per mole of atoms: -18
&SYSTEM
  ibrav = 0, nat = 8, ntyp = 3
/
ATOMIC_SPECIES
Sm 150.36 Sm.upf
Dy 162.50 Dy.upf
Al 26.98 Al.upf
CELL_PARAMETERS angstrom
-1.2199 -3.8552 3.4602
-0.6077 -4.5278 -5.2590
6.1449 0.8901 3.1582
ATOMIC_POSITIONS angstrom
Sm 4.3431 -1.9937 3.4026
Sm 0.8815 -1.4425 -1.2964
Sm 3.4724 -3.1446 -2.2794
Sm 0.5903 -3.5666 -3.7656
Dy 4.0541 -4.1255 0.9256
Dy 1.4503 -2.4149 1.9134
Al 1.0386 -4.6451 -0.7164
Al 3.8775 -0.9292 0.3318

=====

# 6
! Sm8Dy6Al (PBE-GGA, relaxed); values from VASP
! Raw total energy in eV per atom: -4.51
! Fermi-level density of states in states/eV per cell: 20.52
! SG: P-3
! Energy of formation in kJ per mole of atoms: 9
&SYSTEM
  ibrav = 0, nat = 15, ntyp = 3
/
ATOMIC_SPECIES
Sm 150.36 Sm.upf
Dy 162.50 Dy.upf
Al 26.98 Al.upf
CELL_PARAMETERS angstrom
-5.3995 2.7555 -1.9194
1.3377 -3.4016 -8.6465
-4.8031 -5.0076 6.3228
ATOMIC_POSITIONS angstrom
Sm -5.5690 0.7544 -0.2572
Sm -7.1190 -4.1827 -2.9844
Sm -8.6582 -3.3146 2.5917
Sm -3.2958 -6.4081 -3.9860
Sm -1.7458 -1.4710 -1.2588
Sm -0.2066 -2.3392 -6.8349
Sm -7.1993 -2.2048 -0.2464
Sm -1.6655 -3.4489 -3.9967
Dy -3.2740 -0.7981 -6.2535
Dy -5.0860 -3.9361 -5.6611
Dy -4.7780 -1.4578 -2.9697
Dy -5.5908 -4.8556 2.0104
Dy -3.7788 -1.7177 1.4179
Dy -4.0868 -4.1960 -1.2735
Al -2.6997 1.3777 -0.9597

=====

# 7
! Sm6DyAl (PBE-GGA, relaxed); values from VASP
! Distance to the lowest polymorph of the same formula in meV per atom: 0
! Raw total energy in eV per atom: -4.65
! Fermi-level density of states in states/eV per cell: 8.75
! SG: P4/mmm
! Energy of formation in kJ per mole of atoms: -6
&SYSTEM
  ibrav = 0, nat = 8, ntyp = 3
/
ATOMIC_SPECIES
Sm 150.36 Sm.upf
Dy 162.50 Dy.upf
Al 26.98 Al.upf
CELL_PARAMETERS angstrom
4.9306 0.0000 0.0000
0.0000 4.9306 0.0000
0.0000 0.0000 10.1297
ATOMIC_POSITIONS angstrom
Sm 2.4653 2.4653 0.0000
Sm 2.4653 2.4653 5.0648
Sm 2.4653 0.0000 2.4154
Sm 2.4653 0.0000 7.7143
Sm 0.0000 2.4653 2.4154
Sm 0.0000 2.4653 7.7143
Dy 0.0000 0.0000 5.0648
Al 0.0000 0.0000 0.0000

=====

# 8
! Sm2DyAl (PBE-GGA, relaxed); values from VASP
! Distance to the lowest polymorph of the same formula in meV per atom: 135
! Raw total energy in eV per atom: -4.50
! Fermi-level density of states in states/eV per cell: 6.95
! SG: Fm-3m
! Energy of formation in kJ per mole of atoms: -5
&SYSTEM
  ibrav = 0, nat = 4, ntyp = 3
/
ATOMIC_SPECIES
Al 26.98 Al.upf
Sm 150.36 Sm.upf
Dy 162.50 Dy.upf
CELL_PARAMETERS angstrom
5.4137 0.0000 0.0000
2.7069 4.6884 0.0000
2.7069 1.5628 4.4203
ATOMIC_POSITIONS angstrom
Al 5.4137 3.1256 2.2101
Sm 2.7069 1.5628 1.1051
Sm 8.1206 4.6884 3.3152
Dy 0.0000 0.0000 0.0000

=====

# 9
! SmDyAlTc (PBE-GGA, relaxed); values from VASP
! Raw total energy in eV per atom: -5.95
! Fermi-level density of states in states/eV per cell: 4.22
! SG: F-43m
! Energy of formation in kJ per mole of atoms: -9
&SYSTEM
  ibrav = 0, nat = 4, ntyp = 4
/
ATOMIC_SPECIES
Al 26.98 Al.upf
Tc 98.00 Tc.upf
Sm 150.36 Sm.upf
Dy 162.50 Dy.upf
CELL_PARAMETERS angstrom
5.0253 0.0000 0.0000
2.5126 4.3520 0.0000
2.5126 1.4507 4.1031
ATOMIC_POSITIONS angstrom
Al 0.0000 0.0000 0.0000
Tc 5.0253 2.9013 2.0516
Sm 2.5126 1.4507 1.0258
Dy 7.5379 4.3520 3.0773

=====

# 10
! SmDyAlTl (PBE-GGA, relaxed); values from VASP
! Distance to the lowest polymorph of the same formula in meV per atom: 0
! Raw total energy in eV per atom: -4.22
! Fermi-level density of states in states/eV per cell: 2.09
! SG: P4mm
! Energy of formation in kJ per mole of atoms: -35
&SYSTEM
  ibrav = 0, nat = 4, ntyp = 4
/
ATOMIC_SPECIES
Sm 150.36 Sm.upf
Dy 162.50 Dy.upf
Al 26.98 Al.upf
Tl 204.38 Tl.upf
CELL_PARAMETERS angstrom
-2.3383 -0.4566 2.8074
-2.6832 -0.8515 -2.3733
1.9820 -7.4632 0.4369
ATOMIC_POSITIONS angstrom
Sm -2.2697 -1.5619 0.2702
Dy -1.3347 -5.0824 0.4763
Al 0.7209 -2.7148 0.1589
Tl 1.6831 -6.3378 0.3710

=====

# 11
! SmDyAlTl (PBE-GGA, relaxed); values from VASP
! Distance to the lowest polymorph of the same formula in meV per atom: 23
! Raw total energy in eV per atom: -4.20
! Fermi-level density of states in states/eV per cell: 1.42
! SG: F-43m
! Energy of formation in kJ per mole of atoms: -33
&SYSTEM
  ibrav = 0, nat = 4, ntyp = 4
/
ATOMIC_SPECIES
Tl 204.38 Tl.upf
Al 26.98 Al.upf
Sm 150.36 Sm.upf
Dy 162.50 Dy.upf
CELL_PARAMETERS angstrom
-1.7248 3.4644 -3.6168
1.7223 -0.3123 -4.9994
-3.2846 -1.5929 -3.8382
ATOMIC_POSITIONS angstrom
Tl 0.0000 0.0000 0.0000
Al -1.6436 0.7796 -6.2272
Sm -2.4653 1.1694 -9.3408
Dy -0.8218 0.3898 -3.1136

=====

# 12
! SmDyTmAl (PBE-GGA, relaxed); values from VASP
! Distance to the lowest polymorph of the same formula in meV per atom: 126
! Raw total energy in eV per atom: -4.45
! Fermi-level density of states in states/eV per cell: 6.30
! SG: F-43m
! Energy of formation in kJ per mole of atoms: -7
&SYSTEM
  ibrav = 0, nat = 4, ntyp = 4
/
ATOMIC_SPECIES
Tm 168.93 Tm.upf
Al 26.98 Al.upf
Sm 150.36 Sm.upf
Dy 162.50 Dy.upf
CELL_PARAMETERS angstrom
5.3546 0.0000 0.0000
2.6773 4.6372 0.0000
2.6773 1.5457 4.3720
ATOMIC_POSITIONS angstrom
Tm 8.0319 4.6372 3.2790
Al 2.6773 1.5457 1.0930
Sm 5.3546 3.0915 2.1860
Dy 0.0000 0.0000 0.0000

=====

Total magnetization for the records above, in order: 0.00, 0.00, 0.00, 0.00, 0.00, 0.00, 0.00, 0.00, 0.00, 0.00, 0.00, 0.00 μB per formula unit